# 1
The following is a GGA-PBE calculation of Ce2Be4Si3Au after structural relaxation, from the Alexandria database.

Results
* spin magnetization: 0.107 μB/atom
* uncorrected formation energy: -0.4322 eV/atom

abc: 4.002 4.002 9.594
angles: 90.00 90.00 90.00
Site moments in Bohr magnetons follow the coordinates.
Element x y z (fractional)
Si 0.500 0.000 0.872  -0.01
Si 0.000 0.000 0.500  -0.01
Si 0.000 0.500 0.128  -0.01
Au 0.500 0.500 0.500  0.00
Ce 0.500 0.000 0.239  0.47
Ce 0.000 0.500 0.761  0.47
Be 0.000 0.500 0.365  0.00
Be 0.000 0.000 0.000  0.01
Be 0.500 0.000 0.635  0.00
Be 0.500 0.500 0.000  0.01


# 2
The following is a GGA-PBE calculation of Ce2Be3Si4Au after structural relaxation, from the Alexandria database.

Results
* spin magnetization: 0.092 μB/atom
* uncorrected formation energy: -0.4270 eV/atom

abc: 4.058 4.058 9.728
angles: 90.00 90.00 90.00
Site moments in Bohr magnetons follow the coordinates.
Element x y z (fractional)
Si 0.000 0.000 0.000  -0.01
Si 0.000 0.500 0.350  -0.01
Si 0.500 0.000 0.650  -0.01
Si 0.500 0.500 0.000  0.00
Be 0.000 0.500 0.119  0.00
Be 0.500 0.000 0.881  0.00
Be 0.000 0.000 0.500  0.00
Au 0.500 0.500 0.500  0.00
Ce 0.000 0.500 0.762  0.40
Ce 0.500 0.000 0.238  0.40